No. 1
Entry from the Alexandria database: a relaxed CaMgGa crystal (PBE).

Values from the calculation:
Calculated formation energy = -0.35 eV/atom
Density = 3.0 g/cm3
Symmetry = No. 51
Electronic total energy = -2.5544 eV/atom

Cell lengths 4.276, 7.711, 13.616 Å; angles 90.00, 90.00, 90.00 degrees
Sites, in units of the cell vectors:
Ca1 0.000 0.237 0.956
Ca2 0.000 0.763 0.044
Ca3 0.000 0.237 0.544
Ca4 0.000 0.763 0.456
Ca5 0.000 0.140 0.250
Ca6 0.000 0.860 0.750
Ga1 0.500 0.054 0.090
Ga2 0.500 0.946 0.910
Ga3 0.500 0.054 0.410
Ga4 0.500 0.946 0.590
Ga5 0.000 0.556 0.250
Ga6 0.000 0.444 0.750
Mg1 0.500 0.428 0.126
Mg2 0.500 0.572 0.874
Mg3 0.500 0.428 0.374
Mg4 0.500 0.572 0.626
Mg5 0.500 0.798 0.250
Mg6 0.500 0.202 0.750

=====

No. 2
Entry from the Alexandria database: a relaxed CeDyEr2 crystal (PBE).

Values from the calculation:
Calculated formation energy = 0.16 eV/atom
Density = 8.4 g/cm3
Relative energy among the computed polymorphs = 0.106 eV/atom
Symmetry = No. 225
Electronic total energy = -4.7570 eV/atom

Cell lengths 5.620, 5.620, 5.620 Å; angles 60.00, 60.00, 60.00 degrees
Site moments in Bohr magnetons follow the coordinates.
Sites, in units of the cell vectors:
Dy1 0.000 0.000 0.000  0.05
Ce1 0.500 0.500 0.500  0.62
Er1 0.250 0.250 0.250  0.05
Er2 0.750 0.750 0.750  0.05

=====

No. 3
Entry from the Alexandria database: a relaxed La2Pr3YTe6 crystal (PBE).

Values from the calculation:
Density = 6.6 g/cm3
Symmetry = No. 12
Electronic total energy = -5.5969 eV/atom

Cell lengths 4.502, 9.091, 10.095 Å; angles 102.78, 102.88, 90.00 degrees
Sites, in units of the cell vectors:
La1 0.833 0.666 0.667
La2 0.167 0.334 0.333
Pr1 0.500 0.500 0.000
Pr2 0.830 0.165 0.659
Pr3 0.170 0.835 0.341
Y1 0.500 0.000 0.000
Te1 0.339 0.921 0.677
Te2 0.666 0.585 0.332
Te3 0.661 0.079 0.323
Te4 0.998 0.239 0.995
Te5 0.002 0.761 0.005
Te6 0.334 0.415 0.668

=====

No. 4
Entry from the Alexandria database: a relaxed HPdRu2 crystal (PBE).

Values from the calculation:
Density = 10.1 g/cm3
Relative energy among the computed polymorphs = 0.502 eV/atom
Symmetry = No. 225
Electronic total energy = -5.8896 eV/atom

Cell lengths 4.158, 4.158, 4.158 Å; angles 60.00, 60.00, 60.00 degrees
Sites, in units of the cell vectors:
Ru1 0.250 0.250 0.250
Ru2 0.750 0.750 0.750
Pd1 0.500 0.500 0.500
H1 0.000 0.000 0.000

=====

No. 5
Entry from the Alexandria database: a relaxed SmHoScCd crystal (PBE).

Values from the calculation:
Calculated formation energy = -0.12 eV/atom
Density = 7.1 g/cm3
Relative energy among the computed polymorphs = 0.000 eV/atom
Symmetry = No. 99
Electronic total energy = -4.2555 eV/atom

Cell lengths 3.558, 3.558, 8.780 Å; angles 90.00, 90.00, 90.00 degrees
Sites, in units of the cell vectors:
Sm1 0.500 0.500 0.814
Ho1 0.500 0.500 0.330
Sc1 0.000 0.000 0.076
Cd1 0.000 0.000 0.564

=====

No. 6
Entry from the Alexandria database: a relaxed Zn4IrPt2 crystal (PBE).

Values from the calculation:
Calculated formation energy = -0.34 eV/atom
Density = 12.7 g/cm3
Symmetry = No. 65
Electronic total energy = -4.0636 eV/atom

Cell lengths 4.333, 5.234, 5.234 Å; angles 111.77, 90.00, 90.00 degrees
Sites, in units of the cell vectors:
Zn1 0.000 0.776 0.776
Zn2 0.000 0.224 0.224
Zn3 0.500 0.000 0.500
Zn4 0.500 0.500 0.000
Ir1 0.500 0.500 0.500
Pt1 0.000 0.736 0.264
Pt2 0.000 0.264 0.736

=====

No. 7
Entry from the Alexandria database: a relaxed LiMg2Cr crystal (PBE).

Values from the calculation:
Calculated formation energy = 0.27 eV/atom
Density = 2.3 g/cm3
Symmetry = No. 44
Electronic total energy = -3.4165 eV/atom

Cell lengths 5.584, 5.584, 5.584 Å; angles 144.26, 129.83, 63.12 degrees
Site moments in Bohr magnetons follow the coordinates.
Sites, in units of the cell vectors:
Cr1 0.491 0.491 0.000  3.75
Li1 0.254 0.754 0.500  0.01
Mg1 0.011 0.011 0.000  -0.02
Mg2 0.745 0.245 0.500  -0.01

=====

No. 8
Entry from the Alexandria database: a relaxed Nd2GaCuS5 crystal (PBE).

Values from the calculation:
Density = 5.1 g/cm3
Symmetry = No. 36
Electronic total energy = -5.4929 eV/atom

Cell lengths 3.889, 8.835, 11.379 Å; angles 90.00, 90.00, 102.71 degrees
Sites, in units of the cell vectors:
Nd1 0.868 0.736 0.796
Nd2 0.114 0.228 0.678
Nd3 0.132 0.264 0.296
Nd4 0.886 0.772 0.178
Ga1 0.575 0.151 0.952
Ga2 0.425 0.849 0.452
Cu1 0.753 0.507 0.580
Cu2 0.247 0.493 0.080
S1 0.361 0.722 0.990
S2 0.683 0.367 0.837
S3 0.499 0.998 0.780
S4 0.293 0.586 0.655
S5 0.955 0.911 0.558
S6 0.639 0.278 0.490
S7 0.317 0.633 0.337
S8 0.501 0.002 0.280
S9 0.707 0.414 0.155
S10 0.045 0.089 0.058